! Li3Mg2VO6 (PBE+U, optimized geometry); values from VASP
! Total DFT energy (no corrections) = -6.098 eV/atom
! Spin magnetization = 0.00 μB/cell
! Symmetry = C2/m (12)
&SYSTEM
  ibrav = 0, nat = 12, ntyp = 4
/
ATOMIC_SPECIES
Li 6.94 Li.upf
O 16.00 O.upf
V 50.94 V.upf
Mg 24.30 Mg.upf
CELL_PARAMETERS angstrom
-5.073 0.335 -0.699
3.094 -0.853 -4.004
0.249 -4.592 2.267
ATOMIC_POSITIONS crystal
Li 0.160 0.840 0.500
Li 0.500 0.500 0.500
Li 0.840 0.160 0.500
O 0.925 0.616 0.773
O 0.765 0.765 0.222
O 0.075 0.384 0.227
O 0.384 0.075 0.227
O 0.235 0.235 0.778
O 0.616 0.925 0.773
V 0.000 0.000 0.000
Mg 0.333 0.667 0.000
Mg 0.667 0.333 0.000